An optimized crystal structure of MnTc2Ir, computed with PBE.

abc: 2.702 3.767 5.418
angles: 90.00 90.00 90.00
Each line ends with the local moment (μB).
Sites, in units of the cell vectors:
Mn (0.500, 0.500, 0.750)  1.30
Tc (0.000, 0.000, 0.981)  -0.18
Tc (0.000, 0.000, 0.519)  -0.18
Ir (0.500, 0.500, 0.250)  0.01

Computed properties:
Energy of formation in eV/atom: -0.06
SG: No. 47
Energy relative to the lowest polymorph listed for this composition in eV per atom: 0.022
Total magnetization in μB/f.u.: 1.0